1.
An optimized crystal structure of Cs5Cd2Au4. Source: Alexandria, functional PBE-GGA.

The space group is C2/m (No. 12) and the conventional cell measures 18.1721, 5.5437 and 9.7923 Å, with angles of 90.00, 90.83 and 90.00 degrees. The asymmetric unit holds Cs at (0.0000, 0.0000, 0.0000), Cs at (0.1467, 0.5000, 0.5143), Cs at (0.1599, 0.5000, 0.0134), Cd at (0.0224, 0.0000, 0.3539), Au at (0.0035, 0.5000, 0.2569) and Au at (0.1728, 0.0000, 0.2412).

Its energy is -43.1 eV/cell. For the formation energy, the calculation gives -215 meV per atom.

---

2.
An optimized crystal structure of YTh4As5. Source: Alexandria, functional PBE-GGA.

The space group is I4/m (No. 87) and the conventional cell measures 9.4558, 9.4558 and 5.9901 Å, with angles of 90.00, 90.00 and 90.00 degrees. The asymmetric unit holds Y at (0.0000, 0.0000, 0.0000), Th at (0.0994, 0.3002, 0.5000), As at (0.0000, 0.0000, 0.5000) and As at (0.0990, 0.2957, 0.0000).

Its energy is -147.3 eV/cell. For the formation energy, the calculation gives -1424 meV per atom.

---

3.
An optimized crystal structure of TeO. Source: Alexandria, functional PBE-GGA.

The space group is Fm-3m (No. 225) and the conventional cell measures 5.1768, 5.1768 and 5.1768 Å, with angles of 90.00, 90.00 and 90.00 degrees. The asymmetric unit holds Te at (0.0000, 0.0000, 0.0000) and O at (0.0000, 0.0000, 0.5000).

The polymorph energy (0 for the lowest one) comes out at 1.55 eV/f.u. Its energy is -30.5 eV/cell.